*A*
A plane-wave DFT calculation with PBE was carried out for a geometry-optimized Mn5Si3 structure.

Output
M_tot (Bohr magnetons per cell): 3.011

Cell lengths 6.810, 6.810, 4.646 Å; angles 90.00, 90.00, 120.91 degrees
Fractional positions:
Mn 0.222 0.222 0.750
Si 0.004 0.601 0.250
Si 0.391 0.391 0.250
Si 0.601 0.004 0.250
Mn 0.337 0.663 0.500
Mn 0.004 0.762 0.750
Mn 0.663 0.337 0.000
Si 0.399 0.996 0.750
Si 0.996 0.399 0.750
Mn 0.762 0.004 0.750
Si 0.609 0.609 0.750
Mn 0.663 0.337 0.500
Mn 0.337 0.663 0.000
Mn 0.778 0.778 0.250
Mn 0.996 0.238 0.250
Mn 0.238 0.996 0.250

---

*B*
A plane-wave DFT calculation with PBE was carried out for a geometry-optimized Mn5Si3 structure.

Output
M_tot (Bohr magnetons per cell): 4.603

Cell lengths 4.862, 4.862, 4.862 Å; angles 109.47, 109.47, 109.47 degrees
Fractional positions:
Mn 0.000 0.500 0.000
Mn 0.500 0.000 0.000
Si 0.500 0.500 0.000
Si 0.500 0.000 0.500
Mn 0.000 0.000 0.000
Mn 0.500 0.500 0.500
Si 0.000 0.500 0.500
Mn 0.000 0.000 0.500

---

*C*
A plane-wave DFT calculation with PBE was carried out for a geometry-optimized Mn5Si3 structure.

Output
M_tot (Bohr magnetons per cell): 9.100

Cell lengths 5.033, 5.033, 3.703 Å; angles 90.00, 90.00, 96.19 degrees
Fractional positions:
Mn 0.717 0.717 0.500
Si 0.216 0.784 0.500
Mn 0.283 0.283 0.500
Si 0.500 0.500 0.000
Mn 0.000 0.000 0.000
Si 0.784 0.216 0.500
Mn 0.500 0.000 0.000
Mn 0.000 0.500 0.000

---

Stability, descending: *A*, *B*, *C*

---

*A*
A plane-wave DFT calculation with PBE was carried out for a geometry-optimized MnSiSn3 structure.

Output
M_tot (Bohr magnetons per cell): 2.833

Cell lengths 4.996, 4.996, 4.996 Å; angles 90.00, 90.00, 90.00 degrees
Fractional positions:
Sn 0.000 0.000 0.500
Sn 0.000 0.500 0.000
Sn 0.500 0.000 0.000
Mn 0.000 0.000 0.000
Si 0.500 0.500 0.500

---

*B*
A plane-wave DFT calculation with PBE was carried out for a geometry-optimized MnSiSn3 structure.

Output
M_tot (Bohr magnetons per cell): 0.033

Cell lengths 5.123, 5.123, 5.123 Å; angles 90.00, 90.00, 90.00 degrees
Fractional positions:
Mn 0.500 0.500 0.500
Sn 0.500 0.000 0.000
Sn 0.000 0.500 0.000
Sn 0.000 0.000 0.500
Si 0.000 0.000 0.000

---

Stability, descending: *A*, *B*

---

*A*
A plane-wave DFT calculation with PBE was carried out for a geometry-optimized SrMn3Si structure.

Output
M_tot (Bohr magnetons per cell): 10.487

Cell lengths 4.721, 4.721, 4.721 Å; angles 90.00, 90.00, 90.00 degrees
Fractional positions:
Sr 0.500 0.500 0.500
Mn 0.500 0.000 0.000
Si 0.000 0.000 0.000
Mn 0.000 0.500 0.000
Mn 0.000 0.000 0.500

---

*B*
A plane-wave DFT calculation with PBE was carried out for a geometry-optimized SrMn3Si structure.

Output
M_tot (Bohr magnetons per cell): 11.260

Cell lengths 4.994, 4.994, 4.994 Å; angles 90.00, 90.00, 90.00 degrees
Fractional positions:
Mn 0.000 0.000 0.500
Mn 0.000 0.500 0.000
Si 0.500 0.500 0.500
Sr 0.000 0.000 0.000
Mn 0.500 0.000 0.000

---

Stability, descending: *A*, *B*